VASP calculation (PBE) on Cs2ZnSb2 after structural relaxation.

## Properties
Calculated total energy = -2.256 eV/atom

Cell: 7.4923 7.4923 9.2893 Å, 90.00 90.00 90.00°
With the nearest neighbours (Å) after each atom.
Space group I4/mmm (No. 139)
Unique sites:
Cs: 0.0000 0.5000 0.2500 x4  4 Sb 3.87
Zn: 0.0000 0.0000 0.0000 x2  2 Sb 3.28
Sb: 0.0000 0.0000 0.3531 x4  1 Sb 2.73

VASP calculation (PBE) on CsZn2Sb after structural relaxation.

## Properties
Calculated total energy = -1.900 eV/atom

Cell: 5.6148 5.6148 19.0600 Å, 90.00 90.00 90.00°
With the nearest neighbours (Å) after each atom.
Space group I4_1/amd (No. 141, origin choice 2)
Unique sites:
Cs: 0.0000 0.2500 0.3750 x4  8 Zn 3.94, 4 Sb 3.97
Zn: 0.0000 0.0000 0.0000 x8  2 Sb 2.77, 2 Zn 2.81
Sb: 0.0000 0.2500 0.8750 x4  4 Zn 2.77

VASP calculation (PBE) on CsZnSb2 after structural relaxation.

## Properties
Calculated total energy = -2.840 eV/atom

Cell: 30.4516 4.3090 4.3306 Å, 90.00 90.00 90.00°
With the nearest neighbours (Å) after each atom.
Space group Pnma (No. 62)
Unique sites:
Cs: 0.1134 0.2500 0.2264 x4  8 Sb 3.90-4.10, 4 Cs 4.31-4.33
Zn: 0.2503 0.2500 0.7240 x4  4 Sb 2.76, 4 Zn 3.05
Sb: 0.0000 0.2500 0.7366 x4  4 Sb 2.97-3.14
Sb: 0.1936 0.7500 0.7243 x4  4 Zn 2.76

VASP calculation (PBE) on Cs2ZnSb2 after structural relaxation.

## Properties
Calculated total energy = -2.442 eV/atom

Cell: 17.1578 7.7650 7.6741 Å, 90.00 105.14 90.00°
With the nearest neighbours (Å) after each atom.
Space group C2/m (No. 12)
Unique sites:
Cs: 0.0704 0.0000 0.2648 x4  5 Sb 3.95-4.31, 1 Cs 4.15
Cs: 0.1673 0.5000 0.7013 x4  2 Zn 3.66-4.04, 4 Sb 3.81-4.01
Zn: 0.1870 0.5000 0.1884 x4  2 Sb 2.49-2.58
Sb: 0.0360 0.5000 0.1855 x4  1 Zn 2.58, 1 Sb 2.79
Sb: 0.1666 0.0000 0.7985 x4  1 Zn 2.49